Density functional theory data (PBE) for a relaxed structure of PrHoTm2Sb4.

Values from the calculation:
Space group: No. 139
Energy relative to the elements, uncorrected: -1.092 eV per atom

Cell: 6.228 6.228 12.453 Å, 90.00 90.00 90.00°
Fractional coordinates of all 16 atoms:
1 Pr 0.000 0.000 0.000
2 Pr 0.500 0.500 0.500
3 Ho 0.000 0.000 0.500
4 Ho 0.500 0.500 0.000
5 Tm 0.000 0.500 0.250
6 Tm 0.000 0.500 0.750
7 Tm 0.500 0.000 0.250
8 Tm 0.500 0.000 0.750
9 Sb 0.000 0.000 0.254
10 Sb 0.000 0.000 0.746
11 Sb 0.000 0.500 0.000
12 Sb 0.000 0.500 0.500
13 Sb 0.500 0.000 0.000
14 Sb 0.500 0.000 0.500
15 Sb 0.500 0.500 0.246
16 Sb 0.500 0.500 0.754

---

Density functional theory data (PBE) for a relaxed structure of Pr2HoTmSb4.

Values from the calculation:
Space group: No. 10
Energy relative to the elements, uncorrected: -1.135 eV per atom

Cell: 7.707 4.462 7.724 Å, 90.00 109.52 90.00°
Fractional coordinates of all 8 atoms:
1 Pr 0.000 0.000 0.000
2 Pr 0.000 0.500 0.500
3 Ho 0.500 0.000 0.500
4 Tm 0.500 0.500 0.000
5 Sb 0.263 0.500 0.253
6 Sb 0.264 0.000 0.756
7 Sb 0.736 0.000 0.244
8 Sb 0.737 0.500 0.747

---

Density functional theory data (PBE) for a relaxed structure of Pr4Ho15Sc.

Values from the calculation:
DFT formation energy: 0.028 eV per atom
Space group: No. 123

Cell: 5.031 5.031 25.011 Å, 90.00 90.00 90.00°
Fractional coordinates of all 20 atoms:
1 Pr 0.000 0.000 0.101
2 Pr 0.000 0.000 0.303
3 Pr 0.000 0.000 0.697
4 Pr 0.000 0.000 0.899
5 Ho 0.000 0.500 0.000
6 Ho 0.000 0.500 0.203
7 Ho 0.000 0.500 0.405
8 Ho 0.000 0.500 0.595
9 Ho 0.000 0.500 0.797
10 Ho 0.500 0.000 0.000
11 Ho 0.500 0.000 0.203
12 Ho 0.500 0.000 0.405
13 Ho 0.500 0.000 0.595
14 Ho 0.500 0.000 0.797
15 Ho 0.500 0.500 0.101
16 Ho 0.500 0.500 0.304
17 Ho 0.500 0.500 0.500
18 Ho 0.500 0.500 0.696
19 Ho 0.500 0.500 0.899
20 Sc 0.000 0.000 0.500

---

Density functional theory data (PBE) for a relaxed structure of Pr5Ho6Sc2.

Values from the calculation:
DFT formation energy: 0.061 eV per atom
Space group: No. 55

Cell: 11.350 20.526 3.612 Å, 90.00 90.00 90.00°
Fractional coordinates of all 26 atoms:
1 Pr 0.000 0.000 0.000
2 Pr 0.063 0.423 0.000
3 Pr 0.149 0.723 0.000
4 Pr 0.351 0.223 0.000
5 Pr 0.437 0.923 0.000
6 Pr 0.500 0.500 0.000
7 Pr 0.563 0.077 0.000
8 Pr 0.649 0.777 0.000
9 Pr 0.851 0.277 0.000
10 Pr 0.937 0.577 0.000
11 Ho 0.080 0.155 0.000
12 Ho 0.167 0.883 0.500
13 Ho 0.223 0.556 0.500
14 Ho 0.277 0.056 0.500
15 Ho 0.333 0.383 0.500
16 Ho 0.420 0.655 0.000
17 Ho 0.580 0.345 0.000
18 Ho 0.667 0.617 0.500
19 Ho 0.723 0.944 0.500
20 Ho 0.777 0.444 0.500
21 Ho 0.833 0.117 0.500
22 Ho 0.920 0.845 0.000
23 Sc 0.111 0.286 0.500
24 Sc 0.389 0.786 0.500
25 Sc 0.611 0.214 0.500
26 Sc 0.889 0.714 0.500

---

Density functional theory data (PBE) for a relaxed structure of Pr4Ho2Sc.

Values from the calculation:
DFT formation energy: 0.035 eV per atom
Space group: No. 15

Cell: 12.948 12.948 6.228 Å, 94.51 94.51 152.22°
Fractional coordinates of all 14 atoms:
1 Pr 0.036 0.964 0.750
2 Pr 0.248 0.752 0.250
3 Pr 0.323 0.677 0.750
4 Pr 0.462 0.538 0.750
5 Pr 0.538 0.462 0.250
6 Pr 0.677 0.323 0.250
7 Pr 0.752 0.248 0.750
8 Pr 0.964 0.036 0.250
9 Ho 0.176 0.824 0.750
10 Ho 0.392 0.608 0.250
11 Ho 0.608 0.392 0.750
12 Ho 0.824 0.176 0.250
13 Sc 0.108 0.892 0.250
14 Sc 0.892 0.108 0.750

---

Density functional theory data (PBE) for a relaxed structure of Pr5Ho3Sc.

Values from the calculation:
DFT formation energy: 0.312 eV per atom
Space group: No. 140

Cell: 9.627 9.627 9.627 Å, 121.26 121.26 87.83°
Fractional coordinates of all 18 atoms:
1 Pr 0.000 0.000 0.000
2 Pr 0.062 0.562 0.893
3 Pr 0.169 0.062 0.500
4 Pr 0.331 0.831 0.893
5 Pr 0.438 0.331 0.500
6 Pr 0.500 0.500 0.000
7 Pr 0.562 0.669 0.500
8 Pr 0.669 0.169 0.107
9 Pr 0.831 0.938 0.500
10 Pr 0.938 0.438 0.107
11 Ho 0.110 0.390 0.500
12 Ho 0.250 0.250 0.000
13 Ho 0.390 0.890 0.280
14 Ho 0.610 0.110 0.720
15 Ho 0.750 0.750 0.000
16 Ho 0.890 0.610 0.500
17 Sc 0.250 0.750 0.500
18 Sc 0.750 0.250 0.500